Computed, not measured: a relaxed SrB2H8 crystal at the PBE-GGA level of DFT.

POSCAR file:
```
SrB2H8
1.0
4.361 -3.175 0.000
4.361 3.175 0.000
-2.154 0.000 3.785
Sr B H
1 2 8
direct
0.000 0.000 0.000
0.244 0.244 0.737
0.756 0.756 0.263
0.008 0.692 0.342
0.308 0.992 0.658
0.320 0.320 0.566
0.347 0.347 0.052
0.653 0.653 0.948
0.680 0.680 0.434
0.692 0.008 0.342
0.992 0.308 0.658
```

M_tot in μB per atom: 0.000
Crystal system: monoclinic
Fermi-level density of states in states/eV/f.u.: 0.0
Energy above the most stable polymorph in this dataset in meV/atom: 25
Symmetry: C2/m, No. 12
Theoretical density in g/cm3: 1.9